MnNbPt4 | PBE | optimized geometry

Calculated values
Its space-group type is C2/m (12). The value obtained for the energy of formation from the pure elements is -0.4995 eV/atom. As for the total magnetization: 3.5 μB per cell. The relative energy among the computed polymorphs comes out at 0 meV/atom.

Unit cell a=2.8167 b=4.9199 c=7.3715 alpha=98.17 beta=78.99 gamma=73.37
Fractional positions:
Mn  0.5000  0.5000  0.5000
Nb  0.0000  0.0000  0.0000
Pt  0.8385  0.4948  0.8281
Pt  0.3233  0.0179  0.3356
Pt  0.1615  0.5052  0.1719
Pt  0.6767  0.9821  0.6644